No. 1
DFT (PBE) results for a geometry-optimized BaNbGa structure.

Structure (extended XYZ):
```
3
Lattice="-0.474 -0.786 5.000 -4.588 -0.855 2.014 -1.188 -4.624 1.744" Properties=species:S:1:pos:R:3 pbc="T T T"
Ba -1.563 -1.566 2.189
Ga 0.000 0.000 0.000
Nb -4.688 -4.699 6.568
```

Calculated values
Space group: F-43m (216)
Polymorph energy (0 for the lowest one) (eV per formula unit): 0.000
Crystal system: cubic
VASP energy (eV per atom): -4.21



No. 2
DFT (PBE) results for a geometry-optimized BaNd2Ga2Ni4 structure.

Structure (extended XYZ):
```
9
Lattice="-4.450 1.786 3.196 -3.629 -2.235 3.878 6.219 2.119 5.014" Properties=species:S:1:pos:R:3 pbc="T T T"
Nd -2.643 0.536 6.339
Nd 0.783 1.135 5.748
Ba 0.000 0.000 0.000
Ni 3.595 1.815 6.379
Ni 3.195 1.291 3.770
Ni -5.055 0.379 8.318
Ni -5.454 -0.145 5.708
Ga -1.196 0.330 3.382
Ga -0.664 1.341 8.706
```

Calculated values
Space group: C2/m (12)
Crystal system: monoclinic
VASP energy (eV per atom): -4.81



No. 3
DFT (PBE) results for a geometry-optimized BaNdGaO4 structure.

Structure (extended XYZ):
```
28
Lattice="9.941 0.000 0.000 0.000 7.086 0.000 0.000 0.000 5.848" Properties=species:S:1:pos:R:3 pbc="T T T"
O 7.194 7.084 0.444
O 0.514 5.694 5.800
O 2.747 3.541 2.480
O 5.628 5.198 2.902
O 2.224 3.545 5.403
O 0.658 5.431 2.946
O 8.233 4.606 1.467
O 3.262 6.023 4.381
O 1.708 1.063 1.457
O 9.283 1.888 5.826
O 4.457 1.392 2.876
O 4.312 1.655 0.022
O 6.678 2.480 4.391
O 5.484 4.935 0.048
O 7.717 0.002 3.368
O 9.427 2.151 2.972
Ba 3.270 5.880 1.485
Ba 6.671 2.337 1.439
Ba 1.700 1.206 4.408
Ba 8.240 4.749 4.363
Nd 0.486 3.533 1.389
Nd 9.455 7.077 1.535
Nd 4.485 3.553 4.313
Nd 5.456 0.010 4.459
Ga 1.669 5.055 4.455
Ga 3.302 2.031 1.531
Ga 8.272 1.512 4.316
Ga 6.639 5.574 1.392
```

Calculated values
Space group: P2_12_12_1 (19)
Crystal system: orthorhombic
VASP energy (eV per atom): -6.89



No. 4
DFT (PBE) results for a geometry-optimized BaNdZn3GaO7 structure.

Structure (extended XYZ):
```
26
Lattice="-1.000 -2.434 -5.884 -2.326 -3.043 5.184 -8.894 5.499 -0.763" Properties=species:S:1:pos:R:3 pbc="T T T"
O -10.907 1.079 -2.128
O -6.636 2.501 -3.438
O -4.444 -3.184 2.074
O -8.237 -0.135 -3.773
O -9.135 3.997 -1.747
O -1.887 1.167 -0.162
O -3.325 -1.721 -0.423
O -7.755 1.038 -0.942
O -6.135 -0.471 3.117
O -6.334 3.916 -0.543
O -2.843 -0.548 2.408
O -4.892 1.157 0.358
O -9.664 2.706 -4.886
O -6.664 -1.762 -0.023
Ba -5.717 0.006 -2.561
Ba -10.606 2.553 0.747
Nd -4.812 -1.029 1.244
Nd -8.818 1.923 -2.827
Zn -3.629 -3.252 -1.570
Zn -1.996 -0.562 -1.224
Zn -6.668 2.085 0.272
Zn -7.811 0.590 2.817
Zn -8.301 -0.604 -0.073
Zn -2.486 -1.756 -4.114
Ga -3.490 2.158 -0.299
Ga -7.937 4.907 -0.681
```

Calculated values
Space group: P6_3 (173)
Crystal system: hexagonal
VASP energy (eV per atom): -5.82



No. 5
DFT (PBE) results for a geometry-optimized BaNdGaS3 structure.

Structure (extended XYZ):
```
12
Lattice="-3.119 3.954 5.561 -0.963 -3.079 -6.774 -3.226 -8.840 4.476" Properties=species:S:1:pos:R:3 pbc="T T T"
Ga -1.824 -5.110 -5.341
Ga -5.484 -2.854 8.605
Ba -3.390 -0.003 3.616
Ba -3.918 -7.962 -0.353
Nd -3.654 -3.982 1.632
Nd -2.041 0.438 -0.606
S -5.915 -5.458 8.176
S -4.660 -5.543 3.890
S -2.729 -6.168 -3.059
S -4.579 -1.797 6.322
S -2.648 -2.422 -0.626
S -1.393 -2.506 -4.913
```

Calculated values
Space group: Cmcm (63)
Crystal system: orthorhombic
VASP energy (eV per atom): -5.08



No. 6
DFT (PBE) results for a geometry-optimized BaNdGaTe3 structure.

Structure (extended XYZ):
```
12
Lattice="5.392 5.545 -2.605 -6.923 -4.032 -1.557 -6.119 8.452 5.323" Properties=species:S:1:pos:R:3 pbc="T T T"
Ga -5.025 7.352 1.883
Ga -2.625 2.613 -0.722
Ba -8.535 4.622 2.182
Ba 0.885 5.343 -1.021
Te -0.330 11.003 1.484
Te -7.320 -1.038 -0.322
Te -4.876 10.218 2.870
Te -5.322 3.266 0.507
Te -2.774 -0.253 -1.709
Te -2.329 6.699 0.654
Nd 0.000 0.000 0.000
Nd -3.060 4.226 2.662
```

Calculated values
Space group: Cmcm (63)
Crystal system: orthorhombic
VASP energy (eV per atom): -4.28



no.,total moment (μB per cell)
1,2.751
2,0.012
3,0.000
4,0.001
5,0.008
6,0.001